1.
Here is crystalline TcMoBr2 at its relaxed geometry from the Alexandria database. Energies are from PBE-GGA.

Cell and atoms, written as CIF:
```
data_TcMoBr2
_chemical_formula_sum 'Tc1 Mo1 Br2'
_space_group_name_H-M_alt 'P 1'
_space_group_IT_number 1
_space_group_name_Hall 'P 1'
_cell_length_a 4.7819
_cell_length_b 4.7819
_cell_length_c 4.7819
_cell_angle_alpha 60.00
_cell_angle_beta 60.00
_cell_angle_gamma 60.00
loop_
_atom_site_label
_atom_site_fract_x
_atom_site_fract_y
_atom_site_fract_z
Mo1 0.5000 0.5000 0.5000
Br1 0.2500 0.2500 0.2500
Br2 0.0000 0.0000 0.0000
Tc1 0.7500 0.7500 0.7500
```

Output
Magnetization (Bohr magnetons per cell): 0.11
Energy relative to the lowest polymorph listed for this composition (meV per atom): 1182
Space group: No. 216
Calculated density (g/cm³): 7.60
Formation energy (no corrections) (eV/atom): 1.14
DFT total energy (eV per atom): -4.9926



2.
Here is crystalline Tc2MoBr at its relaxed geometry from the Alexandria database. Energies are from PBE-GGA.

Cell and atoms, written as CIF:
```
data_Tc2MoBr
_chemical_formula_sum 'Tc2 Mo1 Br1'
_space_group_name_H-M_alt 'P 1'
_space_group_IT_number 1
_space_group_name_Hall 'P 1'
_cell_length_a 4.5328
_cell_length_b 4.5328
_cell_length_c 3.0490
_cell_angle_alpha 90.00
_cell_angle_beta 90.00
_cell_angle_gamma 90.01
loop_
_atom_site_label
_atom_site_fract_x
_atom_site_fract_y
_atom_site_fract_z
Mo1 0.0000 0.5000 0.5000
Tc1 0.5000 0.5000 0.0000
Tc2 0.0000 0.0000 0.0000
Br1 0.5000 0.0000 0.5000
```

Output
Magnetization (Bohr magnetons per cell): 0.00
Energy relative to the lowest polymorph listed for this composition (meV per atom): 344
Space group: No. 123
Calculated density (g/cm³): 9.86
Formation energy (no corrections) (eV/atom): 0.81
DFT total energy (eV per atom): -7.4942



3.
Here is crystalline TcMo2Br at its relaxed geometry from the Alexandria database. Energies are from PBE-GGA.

Cell and atoms, written as CIF:
```
data_TcMo2Br
_chemical_formula_sum 'Tc1 Mo2 Br1'
_space_group_name_H-M_alt 'P 1'
_space_group_IT_number 1
_space_group_name_Hall 'P 1'
_cell_length_a 3.0849
_cell_length_b 3.8395
_cell_length_c 6.2777
_cell_angle_alpha 90.00
_cell_angle_beta 90.00
_cell_angle_gamma 90.00
loop_
_atom_site_label
_atom_site_fract_x
_atom_site_fract_y
_atom_site_fract_z
Br1 0.5000 0.5000 0.7500
Mo1 0.0000 0.0000 0.4331
Mo2 0.0000 0.0000 0.0669
Tc1 0.5000 0.5000 0.2500
```

Output
Magnetization (Bohr magnetons per cell): 0.00
Energy relative to the lowest polymorph listed for this composition (meV per atom): 217
Space group: No. 47
Calculated density (g/cm³): 8.26
Formation energy (no corrections) (eV/atom): 0.62
DFT total energy (eV per atom): -7.8003



4.
Here is crystalline TcMo2Br at its relaxed geometry from the Alexandria database. Energies are from PBE-GGA.

Cell and atoms, written as CIF:
```
data_TcMo2Br
_chemical_formula_sum 'Tc1 Mo2 Br1'
_space_group_name_H-M_alt 'P 1'
_space_group_IT_number 1
_space_group_name_Hall 'P 1'
_cell_length_a 3.0693
_cell_length_b 3.0693
_cell_length_c 6.9851
_cell_angle_alpha 90.00
_cell_angle_beta 90.00
_cell_angle_gamma 90.00
loop_
_atom_site_label
_atom_site_fract_x
_atom_site_fract_y
_atom_site_fract_z
Mo1 0.0000 0.0000 0.0115
Mo2 0.5000 0.5000 0.2588
Br1 0.5000 0.5000 0.7573
Tc1 0.0000 0.0000 0.4724
```

Output
Magnetization (Bohr magnetons per cell): 0.00
Energy relative to the lowest polymorph listed for this composition (meV per atom): 54
Space group: No. 99
Calculated density (g/cm³): 9.33
Formation energy (no corrections) (eV/atom): 0.46
DFT total energy (eV per atom): -7.9635



5.
Here is crystalline TcMo2Br at its relaxed geometry from the Alexandria database. Energies are from PBE-GGA.

Cell and atoms, written as CIF:
```
data_TcMo2Br
_chemical_formula_sum 'Tc1 Mo2 Br1'
_space_group_name_H-M_alt 'P 1'
_space_group_IT_number 1
_space_group_name_Hall 'P 1'
_cell_length_a 4.9780
_cell_length_b 4.9780
_cell_length_c 2.9465
_cell_angle_alpha 90.00
_cell_angle_beta 90.00
_cell_angle_gamma 117.22
loop_
_atom_site_label
_atom_site_fract_x
_atom_site_fract_y
_atom_site_fract_z
Tc1 0.5000 0.0000 0.5000
Br1 0.0000 0.5000 0.5000
Mo1 0.0000 0.0000 0.0000
Mo2 0.5000 0.5000 0.0000
```

Output
Magnetization (Bohr magnetons per cell): 0.00
Energy relative to the lowest polymorph listed for this composition (meV per atom): 502
Space group: No. 65
Calculated density (g/cm³): 9.46
Formation energy (no corrections) (eV/atom): 0.91
DFT total energy (eV per atom): -7.5157



6.
Here is crystalline TcMo2Br at its relaxed geometry from the Alexandria database. Energies are from PBE-GGA.

Cell and atoms, written as CIF:
```
data_TcMo2Br
_chemical_formula_sum 'Tc1 Mo2 Br1'
_space_group_name_H-M_alt 'P 1'
_space_group_IT_number 1
_space_group_name_Hall 'P 1'
_cell_length_a 5.1264
_cell_length_b 5.1264
_cell_length_c 4.5112
_cell_angle_alpha 87.01
_cell_angle_beta 87.01
_cell_angle_gamma 34.26
loop_
_atom_site_label
_atom_site_fract_x
_atom_site_fract_y
_atom_site_fract_z
Mo1 0.2550 0.2550 0.2658
Mo2 0.9740 0.9740 0.0213
Tc1 0.5254 0.5254 0.4582
Br1 0.7457 0.7457 0.7547
```

Output
Magnetization (Bohr magnetons per cell): 0.00
Energy relative to the lowest polymorph listed for this composition (meV per atom): 290
Space group: No. 8
Calculated density (g/cm³): 9.21
Formation energy (no corrections) (eV/atom): 0.70
DFT total energy (eV per atom): -7.7272



7.
Here is crystalline Tc2MoBr at its relaxed geometry from the Alexandria database. Energies are from PBE-GGA.

Cell and atoms, written as CIF:
```
data_Tc2MoBr
_chemical_formula_sum 'Tc2 Mo1 Br1'
_space_group_name_H-M_alt 'P 1'
_space_group_IT_number 1
_space_group_name_Hall 'P 1'
_cell_length_a 5.3174
_cell_length_b 5.3174
_cell_length_c 5.3174
_cell_angle_alpha 147.63
_cell_angle_beta 129.57
_cell_angle_gamma 61.20
loop_
_atom_site_label
_atom_site_fract_x
_atom_site_fract_y
_atom_site_fract_z
Mo1 0.2500 0.7500 0.5000
Tc1 0.5172 0.5172 0.0000
Tc2 0.9828 0.9828 0.0000
Br1 0.7500 0.2500 0.5000
```

Output
Magnetization (Bohr magnetons per cell): 0.00
Energy relative to the lowest polymorph listed for this composition (meV per atom): 197
Space group: No. 71
Calculated density (g/cm³): 10.05
Formation energy (no corrections) (eV/atom): 0.67
DFT total energy (eV per atom): -7.6416



8.
Here is crystalline TcMoBr2 at its relaxed geometry from the Alexandria database. Energies are from PBE-GGA.

Cell and atoms, written as CIF:
```
data_TcMoBr2
_chemical_formula_sum 'Tc1 Mo1 Br2'
_space_group_name_H-M_alt 'P 1'
_space_group_IT_number 1
_space_group_name_Hall 'P 1'
_cell_length_a 5.5242
_cell_length_b 5.5242
_cell_length_c 5.5242
_cell_angle_alpha 148.21
_cell_angle_beta 117.84
_cell_angle_gamma 71.52
loop_
_atom_site_label
_atom_site_fract_x
_atom_site_fract_y
_atom_site_fract_z
Mo1 0.7500 0.2500 0.5000
Tc1 0.2500 0.7500 0.5000
Br1 0.5099 0.5099 0.0000
Br2 0.9901 0.9901 0.0000
```

Output
Magnetization (Bohr magnetons per cell): 3.37
Energy relative to the lowest polymorph listed for this composition (meV per atom): 1078
Space group: No. 71
Calculated density (g/cm³): 7.59
Formation energy (no corrections) (eV/atom): 1.04
DFT total energy (eV per atom): -5.0958